Computed, not measured: a geometry-optimized LaHfTi2Mo structure at the GGA-PBE level of DFT.

a = 4.8527 Å, b = 4.8527 Å, c = 5.1683 Å
α = 90.00°, β = 90.00°, γ = 90.00°
With the nearest neighbours (Å) after each atom.
Atoms (fractional coordinates):
La 0.0000 0.0000 0.0000  2 Mo 2.58
Hf 0.5000 0.5000 0.0000  4 La 3.43, 8 Ti 3.54
Ti 0.0000 0.5000 0.5000  2 Mo 2.43
Ti 0.5000 0.0000 0.5000  2 Mo 2.43
Mo 0.0000 0.0000 0.5000  4 Ti 2.43, 2 La 2.58

Summary:
Calculated volume, Å³/cell: 121.7
Calculated total energy, eV/atom: -7.454

=====

Computed, not measured: a geometry-optimized Mg2CdCl structure at the GGA-PBE level of DFT.

a = 3.1956 Å, b = 3.1956 Å, c = 10.2480 Å
α = 90.00°, β = 90.00°, γ = 97.34°
With the nearest neighbours (Å) after each atom.
Atoms (fractional coordinates):
Mg 0.0000 0.0000 0.0000  4 Cl 2.54-2.79
Mg 0.5000 0.5000 0.2358  4 Cd 3.11-3.31, 8 Mg 3.20-3.41
Cd 0.0000 0.0000 0.4581  4 Mg 3.11-3.31, 4 Cd 3.20
Cl 0.5000 0.5000 0.8620  4 Mg 2.54-2.79

Summary:
Calculated volume, Å³/cell: 103.8
ΔE_f (raw), eV/atom: -0.441
Offset from the most stable computed form, meV per atom: 129.0

=====

Computed, not measured: a geometry-optimized Tl2CoMoIr structure at the GGA-PBE level of DFT.

a = 5.2297 Å, b = 5.2297 Å, c = 4.8683 Å
α = 90.00°, β = 90.00°, γ = 90.00°
With the nearest neighbours (Å) after each atom.
Atoms (fractional coordinates):
Tl 0.0000 0.5000 0.0000  2 Ir 2.61
Tl 0.5000 0.0000 0.0000  2 Ir 2.61
Co 0.0000 0.0000 0.5000  8 Tl 3.57, 4 Mo 3.70
Mo 0.5000 0.5000 0.5000  2 Ir 2.43
Ir 0.5000 0.5000 0.0000  2 Mo 2.43, 4 Tl 2.61

Summary:
Calculated volume, Å³/cell: 133.1
Calculated total energy, eV/atom: -4.885